Computed, not measured: a relaxed Ac2Pr2Ir2Pt crystal at the GGA-PBE level of DFT.

a = 4.1127 Å, b = 7.4415 Å, c = 8.3320 Å
α = 62.89°, β = 90.05°, γ = 73.99°
Last column: nearest neighbours and their distance in Å.
Element x y z (fractional)
Pr 0.2220 0.5555 0.3026  3 Ir 2.92-3.02, 1 Pt 2.98
Ac 0.5293 0.9403 0.7521  2 Pt 3.08, 4 Ir 3.10-3.31
Ac 0.4707 0.0597 0.2479  2 Pt 3.08, 4 Ir 3.10-3.31
Ir 0.1146 0.7713 0.5383  3 Pr 2.92-3.02, 1 Ir 3.02, 2 Ac 3.10
Pt 0.0000 0.0000 0.0000  2 Pr 2.98, 4 Ac 3.08
Ir 0.8854 0.2287 0.4617  3 Pr 2.92-3.02, 1 Ir 3.02, 2 Ac 3.10
Pr 0.7780 0.4445 0.6974  3 Ir 2.92-3.02, 1 Pt 2.98

V ... 215.8 Å³/cell
Spin magnetization ... 0.0 μB/cell
Energy relative to the elements ... -0.692 eV/atom
Density ... 10.1 g cm⁻³